(1)
# Ag2PdRh | Alexandria via LeMat-Bulk | PBE | optimized geometry
data_Ag2PdRh
_cell_length_a 7.325
_cell_length_b 7.325
_cell_length_c 5.408
_cell_angle_alpha 90.00
_cell_angle_beta 90.00
_cell_angle_gamma 90.00
_space_group_name_H-M_alt 'I -4 2 d'
_space_group_IT_number 122
_space_group_name_Hall 'I -4 2bw'
loop_
_atom_site_label
_atom_site_type_symbol
_atom_site_fract_x
_atom_site_fract_y
_atom_site_fract_z
Ag1 Ag 0.249 0.250 0.125
Pd1 Pd 0.000 0.000 0.500
Rh1 Rh 0.000 0.000 0.000
# ρ: 9730 kg/m³
# E_form: 0.587 eV per atom
# E above lowest polymorph: 0.308 eV per atom

(2)
# AgPd14Rh | Alexandria via LeMat-Bulk | PBE | optimized geometry
data_AgPd14Rh
_cell_length_a 9.185
_cell_length_b 5.589
_cell_length_c 9.639
_cell_angle_alpha 90.00
_cell_angle_beta 90.00
_cell_angle_gamma 90.00
_space_group_name_H-M_alt 'A m m 2'
_space_group_IT_number 38
loop_
_space_group_symop_operation_xyz
'x,y,z'
'-x,-y,z'
'-x,y,z'
'x,-y,z'
'x,y+1/2,z+1/2'
'-x,-y+1/2,z+1/2'
'-x,y+1/2,z+1/2'
'x,-y+1/2,z+1/2'
loop_
_atom_site_label
_atom_site_type_symbol
_atom_site_fract_x
_atom_site_fract_y
_atom_site_fract_z
Ag1 Ag 0.000 0.000 0.000
Pd1 Pd 0.000 0.249 0.750
Pd2 Pd 0.247 0.000 0.333
Pd3 Pd 0.249 0.248 0.583
Pd4 Pd 0.252 0.000 0.832
Pd5 Pd 0.500 0.000 0.165
Pd6 Pd 0.500 0.000 0.665
Pd7 Pd 0.500 0.250 0.415
Rh1 Rh 0.000 0.000 0.500
# ρ: 11414 kg/m³
# E_form: 0.041 eV per atom

(3)
# AgPdRh | Alexandria via LeMat-Bulk | PBE | optimized geometry
data_AgPdRh
_cell_length_a 2.7961
_cell_length_b 2.7961
_cell_length_c 6.9543
_cell_angle_alpha 90.00
_cell_angle_beta 90.00
_cell_angle_gamma 120.00
_space_group_name_H-M_alt 'P 3 m 1'
_space_group_IT_number 156
loop_
_space_group_symop_operation_xyz
'x,y,z'
'-y,x-y,z'
'-x+y,-x,z'
'-y,-x,z'
'-x+y,y,z'
'x,x-y,z'
loop_
_atom_site_label
_atom_site_type_symbol
_atom_site_fract_x
_atom_site_fract_y
_atom_site_fract_z
Ag1 Ag 0.0000 0.0000 0.0000
Pd1 Pd 0.3333 0.6667 0.6579
Rh1 Rh 0.6667 0.3333 0.3405
# ρ: 11186 kg/m³
# E_form: 0.124 eV per atom
# E above lowest polymorph: 0.083 eV per atom